No. 1
Compound: Si2PCl
Source: Alexandria
Functional: PBE
Structure: relaxed

CIF file:
```
data_Si2PCl
_space_group_name_H-M_alt 'P 1'
_space_group_IT_number 1
_cell_length_a 6.876
_cell_length_b 6.876
_cell_length_c 6.639
_cell_angle_alpha 90.00
_cell_angle_beta 90.00
_cell_angle_gamma 90.00
loop_
_space_group_symop_operation_xyz
'x,y,z'
loop_
_atom_site_label
_atom_site_fract_x
_atom_site_fract_y
_atom_site_fract_z
_atom_site_occupancy
Si1 0.205 0.750 0.125 1
Si2 0.250 0.205 0.875 1
Si3 0.250 0.295 0.375 1
Si4 0.295 0.750 0.625 1
Si5 0.705 0.250 0.625 1
Si6 0.750 0.705 0.375 1
Si7 0.750 0.795 0.875 1
Si8 0.795 0.250 0.125 1
P1 0.000 0.000 0.000 1
P2 0.000 0.500 0.250 1
P3 0.500 0.000 0.750 1
P4 0.500 0.500 0.500 1
Cl1 0.000 0.000 0.500 1
Cl2 0.000 0.500 0.750 1
Cl3 0.500 0.000 0.250 1
Cl4 0.500 0.500 0.000 1
```

Results
* total moment: 0.00 μB per atom
* symmetry: I-42d
* density: 2.59 g cm⁻³
* energy relative to the elements, uncorrected: 373.1 meV per atom



No. 2
Compound: KSn2Au3
Source: Alexandria
Functional: PBE
Structure: relaxed

CIF file:
```
data_KSn2Au3
_space_group_name_H-M_alt 'P 1'
_space_group_IT_number 1
_cell_length_a 9.369
_cell_length_b 9.369
_cell_length_c 8.295
_cell_angle_alpha 114.76
_cell_angle_beta 114.76
_cell_angle_gamma 29.30
loop_
_space_group_symop_operation_xyz
'x,y,z'
loop_
_atom_site_label
_atom_site_fract_x
_atom_site_fract_y
_atom_site_fract_z
_atom_site_occupancy
K1 0.171 0.171 0.100 1
K2 0.829 0.829 0.900 1
Sn1 0.151 0.151 0.581 1
Sn2 0.470 0.470 0.798 1
Sn3 0.530 0.530 0.202 1
Sn4 0.849 0.849 0.419 1
Au1 0.014 0.014 0.698 1
Au2 0.304 0.304 0.568 1
Au3 0.395 0.395 0.306 1
Au4 0.605 0.605 0.694 1
Au5 0.696 0.696 0.432 1
Au6 0.986 0.986 0.302 1
```

Results
* total moment: 0.00 μB per atom
* symmetry: C2/m
* density: 8.97 g cm⁻³
* final energy: -3.42 eV per atom



No. 3
Compound: Hf2MgSe
Source: Alexandria
Functional: PBE
Structure: relaxed

CIF file:
```
data_Hf2MgSe
_space_group_name_H-M_alt 'P 1'
_space_group_IT_number 1
_cell_length_a 3.246
_cell_length_b 3.246
_cell_length_c 30.249
_cell_angle_alpha 90.00
_cell_angle_beta 90.00
_cell_angle_gamma 120.00
loop_
_space_group_symop_operation_xyz
'x,y,z'
loop_
_atom_site_label
_atom_site_fract_x
_atom_site_fract_y
_atom_site_fract_z
_atom_site_occupancy
Hf1 0.000 0.000 0.100 1
Hf2 0.000 0.000 0.900 1
Hf3 0.333 0.667 0.566 1
Hf4 0.333 0.667 0.767 1
Hf5 0.667 0.333 0.233 1
Hf6 0.667 0.333 0.434 1
Mg1 0.000 0.000 0.000 1
Mg2 0.333 0.667 0.667 1
Mg3 0.667 0.333 0.333 1
Se1 0.000 0.000 0.500 1
Se2 0.333 0.667 0.167 1
Se3 0.667 0.333 0.833 1
```

Results
* total moment: 0.00 μB per atom
* symmetry: R-3m
* density: 8.31 g cm⁻³
* energy relative to the elements, uncorrected: -22.2 meV per atom



No. 4
Compound: KPrTe2
Source: Alexandria
Functional: PBE
Structure: relaxed

CIF file:
```
data_KPrTe2
_space_group_name_H-M_alt 'P 1'
_space_group_IT_number 1
_cell_length_a 4.621
_cell_length_b 4.621
_cell_length_c 25.361
_cell_angle_alpha 90.00
_cell_angle_beta 90.00
_cell_angle_gamma 120.00
loop_
_space_group_symop_operation_xyz
'x,y,z'
loop_
_atom_site_label
_atom_site_fract_x
_atom_site_fract_y
_atom_site_fract_z
_atom_site_occupancy
K1 0.000 0.000 0.000 1
K2 0.333 0.667 0.667 1
K3 0.667 0.333 0.333 1
Pr1 0.000 0.000 0.831 1
Pr2 0.333 0.667 0.497 1
Pr3 0.667 0.333 0.164 1
Te1 0.000 0.000 0.236 1
Te2 0.000 0.000 0.426 1
Te3 0.333 0.667 0.093 1
Te4 0.333 0.667 0.902 1
Te5 0.667 0.333 0.569 1
Te6 0.667 0.333 0.760 1
```

Results
* total moment: 0.00 μB per atom
* symmetry: R3m
* density: 4.62 g cm⁻³
* energy relative to the elements, uncorrected: -1400.9 meV per atom